! La8ZnPt3I4 | the Alexandria database | PBE | optimized geometry; values from VASP
&SYSTEM
  ibrav = 0, nat = 16, ntyp = 4
/
ATOMIC_SPECIES
I 126.90 I.upf
La 138.91 La.upf
Pt 195.08 Pt.upf
Zn 65.41 Zn.upf
ATOMIC_POSITIONS crystal
I 0.5000 0.0000 0.5000
La 0.7313 0.6939 0.4626
La 0.2361 0.6924 0.4723
Pt 0.5000 0.5000 0.5000
La 0.2687 0.3061 0.5374
I 0.5000 0.0000 0.0000
Pt 0.0000 0.5000 0.5000
La 0.7201 0.6924 0.9562
La 0.2361 0.6924 0.9562
I 0.0000 0.0000 0.5000
La 0.7639 0.3076 0.5277
La 0.2799 0.3076 0.0438
Pt 0.5000 0.5000 0.0000
Zn 0.0000 0.5000 0.0000
I 0.0000 0.0000 0.0000
La 0.7639 0.3076 0.0438
CELL_PARAMETERS angstrom
-7.2505 -4.4694 -1.8664
4.7145 -8.2398 1.4168
0.0120 5.7479 6.5567
! D(E_F) (states/eV/cell): 14.93
! Energy relative to the elements, uncorrected (meV per atom): -1045